Here is crystalline SmCuIr4 at its relaxed geometry from Alexandria via LeMat-Bulk. Energies are from PBE.

```
SmCuIr4
1.0
0.000 3.734 3.734
3.734 0.000 3.734
3.734 3.734 0.000
Sm Cu Ir
1 1 4
direct
0.000 0.000 0.000
0.750 0.750 0.750
0.375 0.375 0.375
0.375 0.375 0.874
0.375 0.874 0.375
0.874 0.375 0.375
```

Properties
Calculated density = 15.7 g/cm³
D(E_F) = 6.98 states/eV/f.u.
Formation energy = -4.11 kcal/mol of atoms